# 1
YAgAu2: relaxed, GGA-PBEsol. Values from VASP.

Structure (Quantum ESPRESSO input):
```
&SYSTEM
  ibrav = 0, nat = 4, ntyp = 3
/
ATOMIC_SPECIES
Y 88.91 Y.upf
Ag 107.87 Ag.upf
Au 196.97 Au.upf
CELL_PARAMETERS angstrom
3.508 0.000 0.000
0.000 3.508 0.000
0.000 0.000 6.299
ATOMIC_POSITIONS angstrom
Y 0.000 0.000 0.000
Ag 0.000 0.000 3.149
Au 1.754 1.754 1.695
Au 1.754 1.754 4.604
```

DOS at the Fermi energy (states/eV/cell): 1.306
Total magnetization (μB per atom): 0.0000
Energy relative to the elements (eV/f.u.): -2.245
Final energy (eV per atom): -5.057

---

# 2
YAgAu: relaxed, GGA-PBEsol. Values from VASP.

Structure (Quantum ESPRESSO input):
```
&SYSTEM
  ibrav = 0, nat = 6, ntyp = 3
/
ATOMIC_SPECIES
Y 88.91 Y.upf
Ag 107.87 Ag.upf
Au 196.97 Au.upf
CELL_PARAMETERS angstrom
3.677 0.000 0.000
0.000 3.677 0.000
0.000 0.000 8.969
ATOMIC_POSITIONS angstrom
Y 0.000 0.000 0.000
Y 1.838 1.838 4.484
Ag 0.000 0.000 2.927
Ag 1.838 1.838 7.411
Au 0.000 0.000 5.938
Au 1.838 1.838 1.454
```

DOS at the Fermi energy (states/eV/cell): 2.105
Total magnetization (μB per atom): 0.0000
Energy relative to the elements (eV/f.u.): -1.901
Excess energy over the best structure of this formula in the dataset (eV per formula unit): 0.00
Final energy (eV per atom): -5.320

---

# 3
ZnAgAu: relaxed, GGA-PBEsol. Values from VASP.

Structure (Quantum ESPRESSO input):
```
&SYSTEM
  ibrav = 0, nat = 3, ntyp = 3
/
ATOMIC_SPECIES
Zn 65.41 Zn.upf
Ag 107.87 Ag.upf
Au 196.97 Au.upf
CELL_PARAMETERS angstrom
2.890 0.000 0.000
-1.445 2.503 0.000
0.000 0.000 6.592
ATOMIC_POSITIONS angstrom
Zn 0.000 0.000 0.000
Ag 0.000 1.669 4.482
Au 1.445 0.834 2.114
```

DOS at the Fermi energy (states/eV/cell): 0.617
Total magnetization (μB per atom): 0.0000
Energy relative to the elements (eV/f.u.): -0.252
Excess energy over the best structure of this formula in the dataset (eV per formula unit): 0.14
Final energy (eV per atom): -3.023

---

# 4
Zn4AgAu: relaxed, GGA-PBEsol. Values from VASP.

Structure (Quantum ESPRESSO input):
```
&SYSTEM
  ibrav = 0, nat = 6, ntyp = 3
/
ATOMIC_SPECIES
Zn 65.41 Zn.upf
Ag 107.87 Ag.upf
Au 196.97 Au.upf
CELL_PARAMETERS angstrom
0.000 3.521 3.521
3.521 0.000 3.521
3.521 3.521 0.000
ATOMIC_POSITIONS angstrom
Zn 0.880 0.880 0.880
Zn 2.641 2.641 0.880
Zn 2.641 0.880 2.641
Zn 0.880 2.641 2.641
Ag 3.521 3.521 3.521
Au 5.281 5.281 5.281
```

DOS at the Fermi energy (states/eV/cell): 1.144
Total magnetization (μB per atom): 0.0000
Energy relative to the elements (eV/f.u.): -0.540
Final energy (eV per atom): -2.351

---

# 5
ZnAgAu: relaxed, GGA-PBEsol. Values from VASP.

Structure (Quantum ESPRESSO input):
```
&SYSTEM
  ibrav = 0, nat = 6, ntyp = 3
/
ATOMIC_SPECIES
Zn 65.41 Zn.upf
Ag 107.87 Ag.upf
Au 196.97 Au.upf
CELL_PARAMETERS angstrom
2.938 0.000 0.000
0.000 2.938 0.000
0.000 0.000 10.899
ATOMIC_POSITIONS angstrom
Zn 0.000 0.000 0.000
Zn 1.469 1.469 5.449
Ag 0.000 0.000 7.190
Ag 1.469 1.469 1.741
Au 0.000 0.000 3.755
Au 1.469 1.469 9.204
```

DOS at the Fermi energy (states/eV/cell): 1.554
Total magnetization (μB per atom): 0.0000
Energy relative to the elements (eV/f.u.): -0.378
Excess energy over the best structure of this formula in the dataset (eV per formula unit): 0.02
Final energy (eV per atom): -3.065

---

# 6
ZnAgAu: relaxed, GGA-PBEsol. Values from VASP.

Structure (Quantum ESPRESSO input):
```
&SYSTEM
  ibrav = 0, nat = 6, ntyp = 3
/
ATOMIC_SPECIES
Zn 65.41 Zn.upf
Ag 107.87 Ag.upf
Au 196.97 Au.upf
CELL_PARAMETERS angstrom
2.937 0.000 0.000
0.000 3.446 0.000
0.000 0.000 9.312
ATOMIC_POSITIONS angstrom
Zn 0.000 0.000 0.000
Zn 1.469 1.723 4.656
Ag 0.000 0.000 6.145
Ag 1.469 1.723 1.489
Au 0.000 0.000 3.236
Au 1.469 1.723 7.892
```

DOS at the Fermi energy (states/eV/cell): 1.683
Total magnetization (μB per atom): 0.0000
Energy relative to the elements (eV/f.u.): -0.397
Excess energy over the best structure of this formula in the dataset (eV per formula unit): 0.00
Final energy (eV per atom): -3.071

---

# 7
BaAgB3: relaxed, GGA-PBEsol. Values from VASP.

Structure (Quantum ESPRESSO input):
```
&SYSTEM
  ibrav = 0, nat = 5, ntyp = 3
/
ATOMIC_SPECIES
Ba 137.33 Ba.upf
Ag 107.87 Ag.upf
B 10.81 B.upf
CELL_PARAMETERS angstrom
4.877 0.000 0.000
0.000 4.877 0.000
0.000 0.000 4.877
ATOMIC_POSITIONS angstrom
Ba 0.000 0.000 0.000
Ag 2.439 2.439 2.439
B 0.000 0.000 2.439
B 0.000 2.439 0.000
B 2.439 0.000 0.000
```

DOS at the Fermi energy (states/eV/cell): 3.416
Total magnetization (μB per atom): 0.0001
Energy relative to the elements (eV/f.u.): 14.855
Final energy (eV per atom): -2.331

---

# 8
BaCaAgB2: relaxed, GGA-PBEsol. Values from VASP.

Structure (Quantum ESPRESSO input):
```
&SYSTEM
  ibrav = 0, nat = 5, ntyp = 4
/
ATOMIC_SPECIES
Ba 137.33 Ba.upf
Ca 40.08 Ca.upf
Ag 107.87 Ag.upf
B 10.81 B.upf
CELL_PARAMETERS angstrom
4.826 0.000 0.000
0.000 4.826 0.000
0.000 0.000 5.957
ATOMIC_POSITIONS angstrom
Ba 0.000 0.000 0.000
Ca 0.000 0.000 2.978
Ag 2.413 2.413 2.978
B 0.000 2.413 0.000
B 2.413 0.000 0.000
```

DOS at the Fermi energy (states/eV/cell): 4.118
Total magnetization (μB per atom): 0.0000
Energy relative to the elements (eV/f.u.): 10.690
Final energy (eV per atom): -2.187

---

# 9
BaAg2BN: relaxed, GGA-PBEsol. Values from VASP.

Structure (Quantum ESPRESSO input):
```
&SYSTEM
  ibrav = 0, nat = 5, ntyp = 4
/
ATOMIC_SPECIES
Ba 137.33 Ba.upf
Ag 107.87 Ag.upf
B 10.81 B.upf
N 14.01 N.upf
CELL_PARAMETERS angstrom
6.163 0.000 0.000
0.000 6.163 0.000
0.000 0.000 5.434
ATOMIC_POSITIONS angstrom
Ba 0.000 0.000 0.000
Ag 0.000 3.081 0.000
Ag 3.081 0.000 0.000
B 0.000 0.000 2.717
N 3.081 3.081 2.717
```

DOS at the Fermi energy (states/eV/cell): 3.219
Total magnetization (μB per atom): 0.6355
Formation energy (no corrections) (meV per atom): 2724
Final energy (eV per atom): -2.139

---

# 10
BaRe2AgB: relaxed, GGA-PBEsol. Values from VASP.

Structure (Quantum ESPRESSO input):
```
&SYSTEM
  ibrav = 0, nat = 5, ntyp = 4
/
ATOMIC_SPECIES
Ba 137.33 Ba.upf
Re 186.21 Re.upf
Ag 107.87 Ag.upf
B 10.81 B.upf
CELL_PARAMETERS angstrom
4.292 0.000 0.000
0.000 4.292 0.000
0.000 0.000 4.811
ATOMIC_POSITIONS angstrom
Ba 0.000 0.000 0.000
Re 0.000 2.146 2.405
Re 2.146 0.000 2.405
Ag 2.146 2.146 0.000
B 2.146 2.146 2.405
```

DOS at the Fermi energy (states/eV/cell): 4.670
Total magnetization (μB per atom): 0.0002
Energy relative to the elements (eV/f.u.): 4.499
Final energy (eV per atom): -6.928

---

# 11
BaSc2AgB: relaxed, GGA-PBEsol. Values from VASP.

Structure (Quantum ESPRESSO input):
```
&SYSTEM
  ibrav = 0, nat = 5, ntyp = 4
/
ATOMIC_SPECIES
Ba 137.33 Ba.upf
Sc 44.96 Sc.upf
Ag 107.87 Ag.upf
B 10.81 B.upf
CELL_PARAMETERS angstrom
4.858 0.000 0.000
0.000 4.858 0.000
0.000 0.000 4.616
ATOMIC_POSITIONS angstrom
Ba 0.000 0.000 0.000
Sc 0.000 2.429 2.308
Sc 2.429 0.000 2.308
Ag 2.429 2.429 0.000
B 2.429 2.429 2.308
```

DOS at the Fermi energy (states/eV/cell): 6.246
Total magnetization (μB per atom): 0.0027
Energy relative to the elements (eV/f.u.): 1.186
Final energy (eV per atom): -4.900

---

# 12
Be2TcAgB: relaxed, GGA-PBEsol. Values from VASP.

Structure (Quantum ESPRESSO input):
```
&SYSTEM
  ibrav = 0, nat = 5, ntyp = 4
/
ATOMIC_SPECIES
Be 9.01 Be.upf
Tc 98.00 Tc.upf
Ag 107.87 Ag.upf
B 10.81 B.upf
CELL_PARAMETERS angstrom
4.181 0.000 0.000
0.000 4.181 0.000
0.000 0.000 3.973
ATOMIC_POSITIONS angstrom
Be 0.000 2.091 0.000
Be 2.091 0.000 0.000
Tc 0.000 0.000 0.000
Ag 2.091 2.091 1.987
B 0.000 0.000 1.987
```

DOS at the Fermi energy (states/eV/cell): 1.620
Total magnetization (μB per atom): 0.0000
Energy relative to the elements (eV/f.u.): 4.963
Final energy (eV per atom): -4.926

---

# 13
Ag2BiB: relaxed, GGA-PBEsol. Values from VASP.

Structure (Quantum ESPRESSO input):
```
&SYSTEM
  ibrav = 0, nat = 16, ntyp = 3
/
ATOMIC_SPECIES
Ag 107.87 Ag.upf
Bi 208.98 Bi.upf
B 10.81 B.upf
CELL_PARAMETERS angstrom
4.872 0.000 0.000
0.000 4.872 0.000
0.000 0.000 13.887
ATOMIC_POSITIONS angstrom
Ag 0.531 1.218 1.736
Ag 1.218 2.967 5.208
Ag 1.218 4.341 12.151
Ag 1.905 1.218 8.679
Ag 2.967 3.654 8.679
Ag 3.654 0.531 12.151
Ag 3.654 1.905 5.208
Ag 4.341 3.654 1.736
Bi 0.000 0.000 6.944
Bi 0.000 2.436 10.415
Bi 2.436 0.000 3.472
Bi 2.436 2.436 0.000
B 0.000 0.000 0.000
B 0.000 2.436 3.472
B 2.436 0.000 10.415
B 2.436 2.436 6.944
```

DOS at the Fermi energy (states/eV/cell): 6.261
Total magnetization (μB per atom): 0.0000
Energy relative to the elements (eV/f.u.): 3.047
Final energy (eV per atom): -3.719

---

# 14
Ag2BiB2: relaxed, GGA-PBEsol. Values from VASP.

Structure (Quantum ESPRESSO input):
```
&SYSTEM
  ibrav = 0, nat = 10, ntyp = 3
/
ATOMIC_SPECIES
Ag 107.87 Ag.upf
Bi 208.98 Bi.upf
B 10.81 B.upf
CELL_PARAMETERS angstrom
3.930 0.000 0.000
0.000 3.930 0.000
0.000 0.000 9.740
ATOMIC_POSITIONS angstrom
Ag 0.000 1.965 2.435
Ag 0.000 1.965 7.305
Ag 1.965 0.000 2.435
Ag 1.965 0.000 7.305
Bi 0.000 0.000 0.000
Bi 1.965 1.965 4.870
B 0.000 0.000 4.060
B 0.000 0.000 5.680
B 1.965 1.965 0.810
B 1.965 1.965 8.930
```

DOS at the Fermi energy (states/eV/cell): 4.591
Total magnetization (μB per atom): 0.0000
Energy relative to the elements (eV/f.u.): 3.355
Final energy (eV per atom): -4.317

---

# 15
CsAg2BiB: relaxed, GGA-PBEsol. Values from VASP.

Structure (Quantum ESPRESSO input):
```
&SYSTEM
  ibrav = 0, nat = 5, ntyp = 4
/
ATOMIC_SPECIES
Cs 132.91 Cs.upf
Ag 107.87 Ag.upf
Bi 208.98 Bi.upf
B 10.81 B.upf
CELL_PARAMETERS angstrom
4.617 0.000 0.000
0.000 4.617 0.000
0.000 0.000 5.552
ATOMIC_POSITIONS angstrom
Cs 0.000 0.000 0.000
Ag 0.000 2.309 2.776
Ag 2.309 0.000 2.776
Bi 2.309 2.309 0.000
B 0.000 0.000 2.776
```

DOS at the Fermi energy (states/eV/cell): 2.847
Total magnetization (μB per atom): 0.0000
Energy relative to the elements (eV/f.u.): 4.326
Final energy (eV per atom): -2.908

---

# 16
NiAgBBr2: relaxed, GGA-PBEsol. Values from VASP.

Structure (Quantum ESPRESSO input):
```
&SYSTEM
  ibrav = 0, nat = 5, ntyp = 4
/
ATOMIC_SPECIES
Ni 58.69 Ni.upf
Ag 107.87 Ag.upf
B 10.81 B.upf
Br 79.90 Br.upf
CELL_PARAMETERS angstrom
5.304 0.000 0.000
0.000 5.304 0.000
0.000 0.000 4.052
ATOMIC_POSITIONS angstrom
Ni 0.000 0.000 0.000
Ag 2.652 2.652 2.026
B 2.652 2.652 0.000
Br 0.000 2.652 2.026
Br 2.652 0.000 2.026
```

DOS at the Fermi energy (states/eV/cell): 10.021
Total magnetization (μB per atom): 0.1682
Formation energy (no corrections) (meV per atom): 1277
Final energy (eV per atom): -2.768

---

# 17
AgBC3: relaxed, GGA-PBEsol. Values from VASP.

Structure (Quantum ESPRESSO input):
```
&SYSTEM
  ibrav = 0, nat = 5, ntyp = 3
/
ATOMIC_SPECIES
Ag 107.87 Ag.upf
B 10.81 B.upf
C 12.01 C.upf
CELL_PARAMETERS angstrom
4.043 0.000 0.000
0.000 4.043 0.000
0.000 0.000 4.043
ATOMIC_POSITIONS angstrom
Ag 0.000 0.000 0.000
B 2.021 2.021 2.021
C 0.000 0.000 2.021
C 0.000 2.021 0.000
C 2.021 0.000 0.000
```

DOS at the Fermi energy (states/eV/cell): 4.113
Total magnetization (μB per atom): 0.0006
Energy relative to the elements (eV/f.u.): 20.365
Final energy (eV per atom): -3.779

---

# 18
CrAg2BC: relaxed, GGA-PBEsol. Values from VASP.

Structure (Quantum ESPRESSO input):
```
&SYSTEM
  ibrav = 0, nat = 5, ntyp = 4
/
ATOMIC_SPECIES
Cr 52.00 Cr.upf
Ag 107.87 Ag.upf
B 10.81 B.upf
C 12.01 C.upf
CELL_PARAMETERS angstrom
4.135 0.000 0.000
0.000 4.135 0.000
0.000 0.000 3.851
ATOMIC_POSITIONS angstrom
Cr 0.000 0.000 0.000
Ag 0.000 2.068 1.925
Ag 2.068 0.000 1.925
B 2.068 2.068 0.000
C 0.000 0.000 1.925
```

DOS at the Fermi energy (states/eV/cell): 3.728
Total magnetization (μB per atom): 0.3503
Energy relative to the elements (eV/f.u.): 6.291
Final energy (eV per atom): -5.447

---

# 19
MnAgB2C: relaxed, GGA-PBEsol. Values from VASP.

Structure (Quantum ESPRESSO input):
```
&SYSTEM
  ibrav = 0, nat = 5, ntyp = 4
/
ATOMIC_SPECIES
Mn 54.94 Mn.upf
Ag 107.87 Ag.upf
B 10.81 B.upf
C 12.01 C.upf
CELL_PARAMETERS angstrom
3.890 0.000 0.000
0.000 3.890 0.000
0.000 0.000 5.119
ATOMIC_POSITIONS angstrom
Mn 0.000 0.000 0.000
Ag 0.000 0.000 2.559
B 0.000 1.945 2.559
B 1.945 0.000 2.559
C 1.945 1.945 0.000
```

DOS at the Fermi energy (states/eV/cell): 1.545
Total magnetization (μB per atom): 0.5800
Energy relative to the elements (eV/f.u.): 12.996
Final energy (eV per atom): -4.751

---

# 20
CdAgB3: relaxed, GGA-PBEsol. Values from VASP.

Structure (Quantum ESPRESSO input):
```
&SYSTEM
  ibrav = 0, nat = 5, ntyp = 3
/
ATOMIC_SPECIES
Cd 112.41 Cd.upf
Ag 107.87 Ag.upf
B 10.81 B.upf
CELL_PARAMETERS angstrom
4.212 0.000 0.000
0.000 4.212 0.000
0.000 0.000 4.212
ATOMIC_POSITIONS angstrom
Cd 0.000 0.000 0.000
Ag 2.106 2.106 2.106
B 0.000 2.106 2.106
B 2.106 0.000 2.106
B 2.106 2.106 0.000
```

DOS at the Fermi energy (states/eV/cell): 2.799
Total magnetization (μB per atom): 0.0001
Energy relative to the elements (eV/f.u.): 9.724
Final energy (eV per atom): -3.167